1.
Material: K2CdPbF6
Method: DFT, PBE
State: relaxed

abc: 6.329 6.533 9.028
angles: 90.00 90.35 90.00
Fractional positions:
K 0.015 0.949 0.250
K 0.515 0.551 0.750
K 0.985 0.051 0.750
K 0.485 0.449 0.250
Cd 0.500 0.000 0.500
Cd 0.000 0.500 0.000
Pb 0.500 0.000 0.000
Pb 0.000 0.500 0.500
F 0.287 0.695 0.054
F 0.787 0.805 0.554
F 0.713 0.305 0.946
F 0.213 0.195 0.446
F 0.309 0.714 0.442
F 0.809 0.786 0.942
F 0.691 0.286 0.558
F 0.191 0.214 0.058
F 0.895 0.545 0.239
F 0.395 0.955 0.739
F 0.105 0.455 0.761
F 0.605 0.045 0.261

Summary:
The value obtained for the size of the total moment is 0.000 μB per atom. Its uncorrected formation energy is -2.50 eV/atom. The value obtained for the volume is 18.66 Å³ per atom.



2.
Material: CsGaH
Method: DFT, PBE
State: relaxed

abc: 6.695 4.519 11.719
angles: 101.12 31.44 90.00
Fractional positions:
Cs 0.481 0.085 0.171
Cs 0.519 0.915 0.829
H 0.871 0.410 0.820
H 0.129 0.590 0.180
Ga 0.628 0.708 0.415
Ga 0.372 0.292 0.585

Summary:
The total energy comes out at -15.34 eV/cell. The value obtained for the size of the total moment is 0.000 μB per atom. The value obtained for the volume is 28.64 Å³ per atom.



3.
Material: TbNd2Y3Er6
Method: DFT, PBE
State: relaxed

abc: 6.163 6.163 11.766
angles: 95.00 95.00 119.96
Fractional positions:
Tb 0.000 0.000 0.000
Nd 0.333 0.667 0.000
Nd 0.667 0.333 0.000
Y 0.167 0.833 0.500
Y 0.833 0.167 0.500
Y 0.500 0.500 0.500
Er 0.916 0.583 0.749
Er 0.752 0.752 0.252
Er 0.084 0.417 0.251
Er 0.583 0.916 0.749
Er 0.248 0.248 0.748
Er 0.417 0.084 0.251

Summary:
The value obtained for the size of the total moment is 0.000 μB per atom. The formation energy comes out at 0.0219 eV per atom. The value obtained for the volume is 31.77 Å³ per atom.



4.
Material: PSeBr2
Method: DFT, PBE
State: relaxed

abc: 3.763 5.585 8.551
angles: 48.82 90.00 90.00
Fractional positions:
P 0.000 0.942 0.686
Se 0.500 0.264 0.461
Br 0.000 0.027 0.907
Br 0.500 0.767 0.447

Summary:
The value obtained for the size of the total moment is 0.000 μB per atom. Its uncorrected formation energy is -0.03 eV/atom. The value obtained for the volume is 33.81 Å³ per atom.



5.
Material: CaHf2C
Method: DFT, PBE
State: relaxed

abc: 3.325 3.325 9.014
angles: 79.37 79.37 60.00
Fractional positions:
Ca 0.000 0.000 0.000
Hf 0.121 0.121 0.637
Hf 0.879 0.879 0.363
C 0.500 0.500 0.500

Summary:
The value obtained for the size of the total moment is 0.000 μB per atom. The formation energy comes out at -0.2522 eV per atom. The value obtained for the volume is 21.09 Å³ per atom.



6.
Material: LiNdZnCd
Method: DFT, PBE
State: relaxed

abc: 4.911 4.911 4.911
angles: 60.00 60.00 60.00
Fractional positions:
Zn 0.750 0.750 0.750
Li 0.250 0.250 0.250
Nd 0.500 0.500 0.500
Cd 0.000 0.000 0.000

Summary:
The value obtained for the size of the total moment is 0.000 μB per atom. The formation energy comes out at -0.2957 eV per atom. The value obtained for the volume is 20.94 Å³ per atom.



7.
Material: HoZrTcRu
Method: DFT, PBE
State: relaxed

abc: 4.718 4.718 4.718
angles: 60.00 60.00 60.00
Fractional positions:
Ru 0.500 0.500 0.500
Ho 0.250 0.250 0.250
Zr 0.750 0.750 0.750
Tc 0.000 0.000 0.000

Summary:
The value obtained for the size of the total moment is 0.000 μB per atom. The formation energy comes out at -0.2715 eV per atom. The value obtained for the volume is 18.56 Å³ per atom.



8.
Material: VSiGe2
Method: DFT, PBE
State: relaxed

abc: 2.864 2.864 9.079
angles: 80.93 80.93 60.00
Fractional positions:
Ge 0.093 0.093 0.722
Ge 0.907 0.907 0.278
Si 0.000 0.000 0.000
V 0.500 0.500 0.500

Summary:
The value obtained for the size of the total moment is 0.000 μB per atom. Its uncorrected formation energy is 0.13 eV/atom. The value obtained for the volume is 15.85 Å³ per atom.



9.
Material: CaBe2Mo
Method: DFT, PBE
State: relaxed

abc: 3.190 3.190 6.181
angles: 90.00 90.00 90.00
Fractional positions:
Be 0.000 0.000 0.916
Be 0.000 0.000 0.584
Mo 0.500 0.500 0.750
Ca 0.500 0.500 0.250

Summary:
The value obtained for the size of the total moment is 0.092 μB per atom. The formation energy comes out at 0.2602 eV per atom. The value obtained for the volume is 15.72 Å³ per atom.



10.
Material: Ce2PuAu
Method: DFT, PBE
State: relaxed

abc: 5.200 5.200 5.200
angles: 60.00 60.00 60.00
Fractional positions:
Au 0.500 0.500 0.500
Ce 0.250 0.250 0.250
Ce 0.750 0.750 0.750
Pu 0.000 0.000 0.000

Summary:
The value obtained for the size of the total moment is 2.234 μB per atom. The formation energy comes out at -0.2203 eV per atom. The value obtained for the volume is 24.85 Å³ per atom.



11.
Material: Na2SrB2
Method: DFT, PBE
State: relaxed

abc: 4.301 4.301 6.322
angles: 70.12 70.12 90.00
Fractional positions:
Sr 0.000 0.000 0.000
B 0.430 0.430 0.139
B 0.570 0.570 0.861
Na 0.750 0.250 0.500
Na 0.250 0.750 0.500

Summary:
The value obtained for the size of the total moment is 0.000 μB per atom. The formation energy comes out at 0.3844 eV per atom. The value obtained for the volume is 20.51 Å³ per atom.



12.
Material: Sr2Ho3Tl4
Method: DFT, PBE
State: relaxed

abc: 7.284 8.918 9.690
angles: 90.00 112.07 90.00
Fractional positions:
Sr 0.105 0.587 0.211
Sr 0.895 0.413 0.789
Sr 0.395 0.087 0.789
Sr 0.605 0.913 0.211
Ho 0.000 0.000 0.000
Ho 0.500 0.500 0.000
Ho 0.526 0.750 0.553
Ho 0.974 0.250 0.447
Ho 0.474 0.250 0.447
Ho 0.026 0.750 0.553
Tl 0.697 0.750 0.894
Tl 0.803 0.250 0.106
Tl 0.303 0.250 0.106
Tl 0.197 0.750 0.894
Tl 0.179 0.964 0.358
Tl 0.821 0.036 0.642
Tl 0.321 0.464 0.642
Tl 0.679 0.536 0.358

Summary:
The value obtained for the size of the total moment is 0.000 μB per atom. The formation energy comes out at -0.2413 eV per atom. The value obtained for the volume is 32.41 Å³ per atom.



13.
Material: ZrCuP4
Method: DFT, PBE
State: relaxed

abc: 5.043 5.043 5.043
angles: 60.00 60.00 60.00
Fractional positions:
Zr 0.250 0.250 0.250
Cu 0.000 0.000 0.000
P 0.627 0.627 0.120
P 0.627 0.120 0.627
P 0.627 0.627 0.627
P 0.120 0.627 0.627

Summary:
The value obtained for the size of the total moment is 0.000 μB per atom. The formation energy comes out at 0.1986 eV per atom. The value obtained for the volume is 15.11 Å³ per atom.



14.
Material: AgB2PdO
Method: DFT, PBE
State: relaxed

abc: 3.952 5.290 3.952
angles: 90.00 90.00 90.00
Fractional positions:
O 0.500 0.500 0.500
B 0.000 0.000 0.500
B 0.500 0.000 0.000
Pd 0.000 0.500 0.000
Ag 0.000 0.000 0.000

Summary:
The value obtained for the size of the total moment is 0.000 μB per atom. Its uncorrected formation energy is 1.82 eV/atom. The value obtained for the volume is 16.53 Å³ per atom.



15.
Material: PmSc2OsO8
Method: DFT, PBE
State: relaxed

abc: 4.898 4.895 6.639
angles: 90.00 90.00 88.54
Fractional positions:
Pm 0.000 0.000 0.500
Sc 0.500 0.500 0.739
Sc 0.500 0.500 0.261
Os 0.000 0.000 0.000
O 0.197 0.803 0.207
O 0.732 0.732 0.000
O 0.803 0.197 0.207
O 0.803 0.197 0.793
O 0.268 0.268 0.000
O 0.197 0.803 0.793
O 0.678 0.678 0.500
O 0.322 0.322 0.500

Summary:
The value obtained for the size of the total moment is 0.086 μB per atom. Its uncorrected formation energy is -2.47 eV/atom. The value obtained for the volume is 13.26 Å³ per atom.



16.
Material: NdTmRhAu
Method: DFT, PBE
State: relaxed

abc: 5.030 5.030 5.030
angles: 60.00 60.00 60.00
Fractional positions:
Nd 0.500 0.500 0.500
Tm 0.000 0.000 0.000
Au 0.750 0.750 0.750
Rh 0.250 0.250 0.250

Summary:
The value obtained for the size of the total moment is 0.000 μB per atom. The formation energy comes out at -0.7615 eV per atom. The value obtained for the volume is 22.49 Å³ per atom.



17.
Material: PrSmZnCu
Method: DFT, PBE
State: relaxed

abc: 5.144 5.144 5.144
angles: 60.00 60.00 60.00
Fractional positions:
Pr 0.000 0.000 0.000
Zn 0.750 0.750 0.750
Cu 0.250 0.250 0.250
Sm 0.500 0.500 0.500

Summary:
The value obtained for the size of the total moment is 0.000 μB per atom. The formation energy comes out at -0.2170 eV per atom. The value obtained for the volume is 24.07 Å³ per atom.



18.
Material: IrPbCl2
Method: DFT, PBE
State: relaxed

abc: 8.012 8.012 4.101
angles: 75.43 75.43 23.14
Fractional positions:
Pb 0.185 0.185 0.316
Ir 0.526 0.526 0.471
Cl 0.008 0.008 0.989
Cl 0.780 0.780 0.723

Summary:
The value obtained for the size of the total moment is 0.000 μB per atom. Its uncorrected formation energy is 0.12 eV/atom. The value obtained for the volume is 25.00 Å³ per atom.



19.
Material: KBAs2Br
Method: DFT, PBE
State: relaxed

abc: 6.670 6.670 6.010
angles: 90.00 90.00 90.00
Fractional positions:
As 0.000 0.500 0.000
As 0.500 0.000 0.000
B 0.500 0.500 0.500
K 0.000 0.000 0.000
Br 0.000 0.000 0.500

Summary:
The value obtained for the size of the total moment is 1.000 μB per atom. Its uncorrected formation energy is 1.80 eV/atom. The value obtained for the volume is 53.47 Å³ per atom.



20.
Material: Al2Sb2O
Method: DFT, PBE
State: relaxed

abc: 5.774 5.774 5.707
angles: 90.00 90.00 90.00
Fractional positions:
Sb 0.277 0.777 0.500
Sb 0.777 0.723 0.500
Sb 0.723 0.223 0.500
Sb 0.223 0.277 0.500
Al 0.317 0.817 0.000
Al 0.817 0.683 0.000
Al 0.683 0.183 0.000
Al 0.183 0.317 0.000
O 0.000 0.000 0.000
O 0.500 0.500 0.000

Summary:
The value obtained for the size of the total moment is 0.000 μB per atom. Its uncorrected formation energy is -0.53 eV/atom. The value obtained for the volume is 19.03 Å³ per atom.